The following is a GGA-PBE calculation of a relaxed HPd2O crystal, from Alexandria.

a = 3.944 Å, b = 3.944 Å, c = 3.944 Å
α = 60.00°, β = 60.00°, γ = 60.00°
Fractional positions:
H (0.000, 0.000, 0.000)
O (0.500, 0.500, 0.500)
Pd (0.250, 0.250, 0.250)
Pd (0.750, 0.750, 0.750)

ΔE to the lowest computed polymorph = 51.3 kJ/mol of atoms
SG = Fm-3m
Calculated total energy = -16.510 eV per cell

---

The following is a GGA-PBE calculation of a relaxed H2PdO crystal, from Alexandria.

a = 4.414 Å, b = 4.414 Å, c = 4.413 Å
α = 59.99°, β = 59.99°, γ = 90.00°
Fractional positions:
H (0.375, 0.125, 0.250)
H (0.375, 0.625, 0.250)
H (0.375, 0.625, 0.750)
H (0.875, 0.625, 0.750)
O (0.500, 0.500, 0.000)
O (0.250, 0.750, 0.500)
Pd (0.000, 0.000, 0.000)
Pd (0.750, 0.250, 0.500)

ΔE to the lowest computed polymorph = 0.0 kJ/mol of atoms
SG = Fd-3m
Calculated total energy = -33.778 eV per cell

---

The following is a GGA-PBE calculation of a relaxed HPdO2 crystal, from Alexandria.

a = 3.093 Å, b = 6.122 Å, c = 4.513 Å
α = 90.00°, β = 90.00°, γ = 75.38°
Fractional positions:
H (0.237, 0.293, 0.949)
H (0.202, 0.362, 0.449)
Pd (0.542, 0.684, 0.268)
Pd (0.898, 0.971, 0.768)
O (0.281, 0.205, 0.757)
O (0.927, 0.913, 0.267)
O (0.158, 0.450, 0.257)
O (0.512, 0.742, 0.767)

SG = Cmc2_1
Calculated total energy = -41.582 eV per cell

---

The following is a GGA-PBE calculation of a relaxed H3PdO crystal, from Alexandria.

a = 3.217 Å, b = 3.217 Å, c = 3.217 Å
α = 90.00°, β = 90.00°, γ = 90.00°
Fractional positions:
H (0.000, 0.500, 0.000)
H (0.000, 0.000, 0.500)
H (0.500, 0.000, 0.000)
O (0.000, 0.000, 0.000)
Pd (0.500, 0.500, 0.500)

ΔE to the lowest computed polymorph = 0.0 kJ/mol of atoms
SG = Pm-3m
Calculated total energy = -17.157 eV per cell

---

The following is a GGA-PBE calculation of a relaxed HPd3O crystal, from Alexandria.

a = 3.918 Å, b = 3.918 Å, c = 3.918 Å
α = 90.00°, β = 90.00°, γ = 90.00°
Fractional positions:
H (0.000, 0.000, 0.000)
O (0.500, 0.500, 0.500)
Pd (0.000, 0.500, 0.000)
Pd (0.000, 0.000, 0.500)
Pd (0.500, 0.000, 0.000)

ΔE to the lowest computed polymorph = 0.0 kJ/mol of atoms
SG = Pm-3m
Calculated total energy = -21.632 eV per cell

---

The following is a GGA-PBE calculation of a relaxed HPdO2 crystal, from Alexandria.

a = 9.657 Å, b = 4.248 Å, c = 4.248 Å
α = 85.40°, β = 126.32°, γ = 53.68°
Fractional positions:
H (0.249, 0.709, 0.832)
H (0.749, 0.668, 0.791)
O (0.318, 0.012, 0.719)
O (0.818, 0.781, 0.488)
O (0.203, 0.726, 0.993)
O (0.703, 0.507, 0.774)
Pd (0.247, 0.161, 0.112)
Pd (0.747, 0.388, 0.339)

SG = Cc
Calculated total energy = -40.565 eV per cell